## P
SmYSiPd | PBE | optimized geometry

Summary:
**Magnetization**: 0.0 μB per cell
**V**: 362.0 Å³/cell

abc: 7.1272 7.1272 7.1272
angles: 90.00 90.00 90.00
Positions (direct):
Sm1 0.0000 0.0000 0.0000
Sm2 0.0000 0.5000 0.5000
Sm3 0.5000 0.0000 0.5000
Sm4 0.5000 0.5000 0.0000
Y1 0.0000 0.0000 0.5000
Y2 0.0000 0.5000 0.0000
Y3 0.5000 0.0000 0.0000
Y4 0.5000 0.5000 0.5000
Si1 0.2500 0.2500 0.7500
Si2 0.2500 0.7500 0.2500
Si3 0.7500 0.2500 0.2500
Si4 0.7500 0.7500 0.7500
Pd1 0.2500 0.2500 0.2500
Pd2 0.2500 0.7500 0.7500
Pd3 0.7500 0.2500 0.7500
Pd4 0.7500 0.7500 0.2500

---

## Q
SmYSiPd | PBE | optimized geometry

Summary:
**Magnetization**: 0.0 μB per cell
**V**: 186.6 Å³/cell

abc: 4.2543 4.0438 10.8464
angles: 90.00 90.00 90.00
Positions (direct):
Sm1 0.0000 0.0000 0.0000
Sm2 0.0000 0.5000 0.5000
Y1 0.5000 0.0000 0.2797
Y2 0.5000 0.5000 0.7797
Si1 0.5000 0.0000 0.5659
Si2 0.5000 0.5000 0.0659
Pd1 0.0000 0.0000 0.7153
Pd2 0.0000 0.5000 0.2153

---

Here is how they stack up, most stable first: Q, P.

---

## P
Si2SnPd7 | PBE | optimized geometry

Summary:
**Magnetization**: 0.0 μB per cell
**V**: 187.8 Å³/cell

abc: 6.8656 6.8656 4.4025
angles: 90.00 90.00 115.20
Positions (direct):
Si1 0.1987 0.8013 0.0000
Si2 0.8013 0.1987 0.0000
Sn1 0.5000 0.5000 0.5000
Pd1 0.0000 0.0000 0.0000
Pd2 0.1832 0.4355 0.0000
Pd3 0.2658 0.7342 0.5000
Pd4 0.4355 0.1832 0.0000
Pd5 0.5645 0.8168 0.0000
Pd6 0.7342 0.2658 0.5000
Pd7 0.8168 0.5645 0.0000

---

## Q
Si2SnPd7 | PBE | optimized geometry

Summary:
**Magnetization**: 0.0 μB per cell
**V**: 159.7 Å³/cell

abc: 10.3249 10.3249 10.3249
angles: 157.60 157.60 31.89
Positions (direct):
Si1 0.1748 0.1748 0.0000
Si2 0.8252 0.8252 0.0000
Sn1 0.5000 0.5000 0.0000
Pd1 0.0000 0.0000 0.0000
Pd2 0.1051 0.6051 0.5000
Pd3 0.2500 0.7500 0.5000
Pd4 0.3949 0.8949 0.5000
Pd5 0.6051 0.1051 0.5000
Pd6 0.7500 0.2500 0.5000
Pd7 0.8949 0.3949 0.5000

---

Here is how they stack up, most stable first: Q, P.